AcHoCuIr: optimized geometry, PBE-GGA.

CIF file:
```
data_AcHoCuIr
_chemical_formula_sum 'Ac1 Ho1 Cu1 Ir1'
_symmetry_space_group_name_H-M 'P 1'
_symmetry_Int_Tables_number 1
_cell_length_a 5.090
_cell_length_b 5.090
_cell_length_c 5.090
_cell_angle_alpha 60.00
_cell_angle_beta 60.00
_cell_angle_gamma 60.00
loop_
_symmetry_equiv_pos_as_xyz
'x,y,z'
loop_
_atom_site_label
_atom_site_type_symbol
_atom_site_fract_x
_atom_site_fract_y
_atom_site_fract_z
Ac1 Ac 0.500 0.500 0.500
Ir1 Ir 0.750 0.750 0.750
Ho1 Ho 0.000 0.000 0.000
Cu1 Cu 0.250 0.250 0.250
```

- E_tot (eV/atom) = -5.790

***

Ca2AuS2: optimized geometry, PBE-GGA.

CIF file:
```
data_Ca2AuS2
_chemical_formula_sum 'Ca2 Au1 S2'
_symmetry_space_group_name_H-M 'P 1'
_symmetry_Int_Tables_number 1
_cell_length_a 5.539
_cell_length_b 5.539
_cell_length_c 5.912
_cell_angle_alpha 62.07
_cell_angle_beta 62.07
_cell_angle_gamma 90.00
loop_
_symmetry_equiv_pos_as_xyz
'x,y,z'
loop_
_atom_site_label
_atom_site_type_symbol
_atom_site_fract_x
_atom_site_fract_y
_atom_site_fract_z
Ca1 Ca 0.750 0.250 0.500
Ca2 Ca 0.250 0.750 0.500
Au1 Au 0.000 0.000 0.000
S1 S 0.272 0.272 0.457
S2 S 0.728 0.728 0.543
```

- formation energy (no corrections) (eV per atom) = -1.252
- energy relative to the lowest polymorph listed for this composition (kJ/mol of atoms) = 5.6
- E_tot (eV/atom) = -4.359